[1]
GGA-PBE Bi2SbS, relaxed; SG = No. 160
1.0
2.089 1.206 7.792
-2.089 1.206 7.792
0.000 -2.412 7.792
Bi Sb S
2 1 1
Direct
0.000 0.000 0.000 Bi
0.174 0.174 0.174 Bi
0.423 0.423 0.423 Sb
0.596 0.596 0.596 S


[2]
GGA-PBE DyPS4, relaxed; SG = No. 14
1.0
6.402 0.000 0.000
0.000 3.908 0.000
-6.342 0.000 11.164
Dy P S
2 2 8
Direct
0.000 0.000 0.000 Dy
0.000 0.500 0.500 Dy
0.500 0.000 0.500 P
0.500 0.500 0.000 P
0.221 0.192 0.869 S
0.221 0.308 0.369 S
0.337 0.505 0.116 S
0.337 0.995 0.616 S
0.663 0.005 0.384 S
0.663 0.495 0.884 S
0.779 0.692 0.631 S
0.779 0.808 0.131 S


[3]
GGA-PBE TbBr2Cl, relaxed; SG = No. 12
1.0
7.744 -2.069 0.000
7.744 2.069 0.000
-0.111 0.000 5.318
Tb Br Cl
1 2 1
Direct
0.000 0.000 0.000 Tb
0.375 0.375 0.993 Br
0.625 0.625 0.007 Br
0.000 0.000 0.500 Cl


[4]
GGA-PBE ErPdF, relaxed; SG = No. 12
1.0
7.907 -2.039 0.000
7.907 2.039 0.000
-0.112 0.000 7.770
Er Pd F
4 4 4
Direct
0.111 0.111 0.112 Er
0.130 0.130 0.632 Er
0.870 0.870 0.368 Er
0.889 0.889 0.888 Er
0.247 0.247 0.883 Pd
0.253 0.253 0.368 Pd
0.747 0.747 0.632 Pd
0.753 0.753 0.117 Pd
0.042 0.042 0.849 F
0.431 0.431 0.855 F
0.569 0.569 0.145 F
0.958 0.958 0.151 F


[5]
GGA-PBE SrMnW2, relaxed; energy relative to the elements = 0.8332 eV per atom; SG = No. 65
1.0
2.059 -2.065 0.000
2.059 2.065 0.000
0.000 0.000 8.746
Sr Mn W
1 1 2
Direct
0.000 0.000 0.000 Sr
0.000 0.000 0.500 Mn
0.500 0.500 0.323 W
0.500 0.500 0.677 W


[6]
GGA-PBE Rb2LaTiCo, relaxed; energy relative to the elements = 1.5965 eV per atom; SG = No. 123
1.0
6.817 0.000 0.000
0.000 6.817 0.000
0.000 0.000 5.229
Rb La Ti Co
2 1 1 1
Direct
0.000 0.500 0.000 Rb
0.500 0.000 0.000 Rb
0.000 0.000 0.500 La
0.000 0.000 0.000 Ti
0.500 0.500 0.500 Co


The evaluated DFT total energy for the records listed, in turn: -3.990 -4.972 -4.448 -5.898 -8.356 -2.776 eV/atom.
The evaluated DOS at the Fermi energy for the records listed, in turn: 2.107 2.204 0.000 3.126 4.882 10.192 states/eV per cell.